Record 1
PBE-GGA Zr11Co4Hg9, optimized geometry; E = -5.47 eV per atom; energy of formation from the pure elements = -0.256 eV/atom
1.0
3.3348 0.0000 0.0000
0.0000 11.4531 -4.7072
0.0000 0.1724 12.3814
Zr Co Hg
11 4 9
Cartesian
0.0000 6.7826 8.6078 Zr
0.0000 4.8429 -0.9335 Zr
0.0000 10.5807 2.8542 Zr
0.0000 1.0448 4.8201 Zr
0.0000 7.2795 1.6152 Zr
0.0000 4.3460 6.0591 Zr
0.0000 9.7421 -2.1153 Zr
0.0000 1.8833 9.7896 Zr
0.0000 0.0000 0.0000 Zr
0.0000 7.9826 5.2695 Zr
0.0000 3.6429 2.4048 Zr
1.6674 6.3886 6.7093 Co
1.6674 5.2368 0.9649 Co
1.6674 8.6802 3.2380 Co
1.6674 2.9453 4.4363 Co
1.6674 7.3319 -1.1352 Hg
1.6674 4.2935 8.8095 Hg
1.6674 1.8375 7.1882 Hg
1.6674 9.7880 0.4861 Hg
1.6674 9.0799 7.7573 Hg
1.6674 2.5456 -0.0831 Hg
1.6674 10.7015 5.3009 Hg
1.6674 0.9240 2.3734 Hg
1.6674 5.8127 3.8371 Hg

Record 2
PBE-GGA Sc2RhBr, optimized geometry; uncorrected formation energy = -802 meV/atom; E = -6.22 eV per atom
1.0
-7.3826 -1.2240 -2.1394
-4.5045 -3.4442 -5.3314
6.0015 0.2430 4.9498
Br Rh Sc
1 1 2
Cartesian
-6.5464 -2.5708 -4.1143 Br
-4.2691 -1.8958 -0.8438 Rh
-11.0278 -4.3307 -6.9308 Sc
-1.8729 -2.6301 -1.8383 Sc

Record 3
PBE-GGA Tm2Pt3Au, optimized geometry; E = -5.80 eV per atom; energy of formation from the pure elements = -0.745 eV/atom
1.0
-6.6064 -2.4070 -3.4259
1.7651 -7.3041 1.7280
0.2006 5.2640 4.8432
Tm Pt Au
4 6 2
Cartesian
-2.7956 -0.2103 1.9666 Tm
-5.3709 -1.5477 -1.0560 Tm
0.7301 -2.8993 4.2013 Tm
-1.8451 -4.2368 1.1787 Tm
-2.8619 -3.0295 -1.2809 Pt
-1.9794 -6.6816 -0.4169 Pt
-5.0414 0.8611 0.1883 Pt
-0.4820 -1.6562 2.0930 Pt
0.4006 -5.3082 2.9570 Pt
-4.1588 -2.7909 1.0523 Pt
0.8825 -3.6520 0.8640 Au
0.0000 0.0000 0.0000 Au

Which of these has the highest E? Zr11Co4Hg9